i | LiMn2P2O8 | the Alexandria database | meta-GGA SCAN | single point on PBEsol structure; space group = No. 5; density = 3.00 g cm⁻³
1.0
4.883 0.058 0.019
0.258 4.876 0.019
0.164 0.158 7.134
P O Li Mn
2 8 1 2
direct
0.514 0.011 0.751
0.989 0.486 0.249
0.352 0.150 0.922
0.438 0.706 0.760
0.294 0.562 0.240
0.430 0.144 0.564
0.959 0.178 0.217
0.850 0.648 0.078
0.822 0.041 0.783
0.856 0.570 0.436
0.507 0.493 0.000
0.457 0.543 0.500
0.032 0.968 0.000



ii | LiMn2P2O8 | the Alexandria database | meta-GGA SCAN | single point on PBEsol structure; space group = No. 1; density = 3.68 g cm⁻³
1.0
-2.047 -2.018 -3.831
-1.777 -4.482 1.725
-5.719 1.972 -0.042
Mn O P Li
2 8 2 1
direct
0.958 0.758 0.665
0.023 0.246 0.335
0.262 0.324 0.999
0.307 0.883 0.321
0.688 0.113 0.661
0.813 0.640 0.391
0.242 0.910 0.790
0.187 0.369 0.599
0.753 0.100 0.207
0.734 0.691 0.993
0.341 0.176 0.767
0.656 0.838 0.227
0.330 0.665 0.024



It is ii that is the most stable of them.



i | Li3Mn2P3O12 | the Alexandria database | meta-GGA SCAN | single point on PBEsol structure; space group = No. 230; density = 3.54 g cm⁻³
1.0
-0.708 -2.178 9.777
-1.312 -8.366 -5.396
9.078 3.836 -1.926
O Mn P Li
48 8 12 12
direct
0.991 0.108 0.199
0.617 0.108 0.909
0.792 0.801 0.909
0.409 0.792 0.301
0.892 0.301 0.509
0.801 0.409 0.292
0.208 0.199 0.091
0.383 0.491 0.792
0.883 0.091 0.892
0.392 0.883 0.591
0.409 0.617 0.608
0.991 0.883 0.292
0.292 0.909 0.801
0.509 0.708 0.117
0.383 0.892 0.091
0.699 0.708 0.591
0.608 0.491 0.699
0.208 0.009 0.617
0.117 0.909 0.108
0.117 0.208 0.509
0.909 0.301 0.792
0.792 0.991 0.383
0.392 0.509 0.301
0.491 0.199 0.108
0.108 0.699 0.491
0.292 0.383 0.991
0.091 0.392 0.383
0.909 0.608 0.617
0.491 0.292 0.883
0.708 0.091 0.199
0.108 0.409 0.117
0.009 0.892 0.801
0.301 0.009 0.392
0.199 0.591 0.708
0.509 0.801 0.892
0.892 0.591 0.883
0.091 0.699 0.208
0.199 0.608 0.991
0.801 0.392 0.009
0.617 0.509 0.208
0.301 0.292 0.409
0.699 0.991 0.608
0.708 0.617 0.009
0.591 0.383 0.392
0.591 0.208 0.699
0.608 0.117 0.409
0.883 0.792 0.491
0.009 0.117 0.708
0.500 0.000 0.500
0.000 0.500 0.500
0.500 0.000 0.000
0.000 0.000 0.500
0.000 0.000 0.000
0.500 0.500 0.000
0.000 0.500 0.000
0.500 0.500 0.500
0.625 0.250 0.875
0.250 0.375 0.125
0.125 0.875 0.250
0.875 0.125 0.750
0.750 0.125 0.375
0.250 0.875 0.625
0.875 0.750 0.625
0.625 0.375 0.250
0.375 0.625 0.750
0.375 0.750 0.125
0.750 0.625 0.875
0.125 0.250 0.375
0.875 0.250 0.125
0.250 0.125 0.875
0.875 0.625 0.250
0.125 0.375 0.750
0.125 0.750 0.875
0.250 0.625 0.375
0.750 0.875 0.125
0.625 0.750 0.375
0.750 0.375 0.625
0.375 0.125 0.250
0.625 0.875 0.750
0.375 0.250 0.625



ii | Li3Mn2P3O12 | the Alexandria database | meta-GGA SCAN | single point on PBEsol structure; space group = No. 14; density = 3.13 g cm⁻³
1.0
8.382 0.000 0.002
0.000 8.564 0.000
-0.558 0.000 12.280
O Li P Mn
48 12 12 8
direct
0.871 0.388 0.010
0.946 0.864 0.567
0.129 0.612 0.990
0.402 0.122 0.920
0.175 0.823 0.441
0.148 0.741 0.200
0.098 0.622 0.580
0.825 0.177 0.559
0.298 0.993 0.691
0.365 0.287 0.672
0.629 0.888 0.490
0.798 0.507 0.191
0.648 0.759 0.700
0.865 0.213 0.172
0.922 0.588 0.835
0.634 0.473 0.750
0.578 0.088 0.665
0.576 0.180 0.096
0.424 0.820 0.904
0.446 0.636 0.067
0.325 0.323 0.059
0.913 0.894 0.145
0.702 0.007 0.309
0.087 0.106 0.855
0.852 0.259 0.800
0.680 0.538 0.558
0.902 0.378 0.420
0.078 0.412 0.165
0.320 0.462 0.442
0.635 0.713 0.328
0.076 0.320 0.596
0.054 0.136 0.433
0.675 0.677 0.941
0.134 0.027 0.250
0.924 0.680 0.404
0.587 0.394 0.355
0.371 0.112 0.510
0.598 0.878 0.080
0.554 0.364 0.933
0.180 0.962 0.058
0.135 0.787 0.828
0.366 0.527 0.250
0.866 0.973 0.750
0.820 0.038 0.942
0.202 0.493 0.809
0.422 0.912 0.335
0.413 0.606 0.645
0.352 0.241 0.300
0.082 0.309 0.762
0.582 0.591 0.196
0.710 0.283 0.669
0.418 0.409 0.804
0.918 0.091 0.304
0.918 0.691 0.238
0.790 0.783 0.831
0.418 0.809 0.738
0.582 0.191 0.262
0.082 0.909 0.696
0.290 0.717 0.331
0.210 0.217 0.169
0.898 0.385 0.134
0.463 0.246 0.003
0.600 0.597 0.658
0.037 0.746 0.497
0.900 0.097 0.842
0.400 0.403 0.342
0.537 0.754 0.997
0.963 0.254 0.503
0.100 0.903 0.158
0.102 0.615 0.866
0.602 0.885 0.366
0.398 0.115 0.634
0.252 0.044 0.390
0.250 0.461 0.597
0.248 0.544 0.110
0.748 0.956 0.610
0.250 0.961 0.903
0.750 0.039 0.097
0.752 0.456 0.890
0.750 0.539 0.403



It is ii that is the most stable of them.



i | Li3Mn2P3O12 | the Alexandria database | meta-GGA SCAN | single point on PBEsol structure; space group = No. 15; density = 3.36 g cm⁻³
1.0
6.133 0.008 0.010
-2.239 8.305 0.032
-2.239 -2.003 8.060
Li Mn O P
6 4 24 6
direct
0.500 0.500 0.500
0.750 0.300 0.700
0.250 0.978 0.022
0.000 0.500 0.500
0.250 0.700 0.300
0.750 0.022 0.978
0.379 0.636 0.948
0.621 0.364 0.052
0.879 0.948 0.636
0.121 0.052 0.364
0.896 0.335 0.014
0.396 0.014 0.335
0.980 0.816 0.272
0.708 0.301 0.452
0.020 0.184 0.728
0.410 0.856 0.855
0.763 0.527 0.259
0.480 0.272 0.816
0.604 0.986 0.665
0.090 0.145 0.144
0.680 0.619 0.956
0.237 0.473 0.741
0.180 0.956 0.619
0.292 0.699 0.548
0.104 0.665 0.986
0.520 0.728 0.184
0.263 0.259 0.527
0.820 0.044 0.381
0.737 0.741 0.473
0.208 0.452 0.301
0.910 0.855 0.856
0.590 0.144 0.145
0.320 0.381 0.044
0.792 0.548 0.699
0.369 0.864 0.670
0.631 0.136 0.330
0.250 0.293 0.707
0.869 0.670 0.864
0.131 0.330 0.136
0.750 0.707 0.293



ii | Li3Mn2P3O12 | the Alexandria database | meta-GGA SCAN | single point on PBEsol structure; space group = No. 13; density = 3.16 g cm⁻³
1.0
-6.790 -2.726 4.353
-3.243 -3.369 -7.168
6.278 -10.089 1.902
O Mn P Li
48 8 12 12
direct
0.677 0.671 0.576
0.260 0.401 0.009
0.260 0.599 0.509
0.052 0.099 0.657
0.001 0.430 0.110
0.733 0.096 0.208
0.740 0.401 0.491
0.740 0.599 0.991
0.138 0.823 0.602
0.863 0.692 0.199
0.323 0.671 0.924
0.137 0.308 0.801
0.560 0.615 0.157
0.267 0.904 0.792
0.999 0.570 0.890
0.732 0.594 0.786
0.746 0.950 0.512
0.732 0.406 0.286
0.374 0.824 0.190
0.948 0.099 0.843
0.862 0.823 0.898
0.523 0.126 0.415
0.138 0.177 0.102
0.560 0.385 0.657
0.374 0.176 0.690
0.268 0.406 0.214
0.626 0.176 0.810
0.626 0.824 0.310
0.863 0.308 0.699
0.862 0.177 0.398
0.440 0.385 0.843
0.523 0.874 0.915
0.440 0.615 0.343
0.137 0.692 0.301
0.254 0.050 0.488
0.677 0.329 0.076
0.477 0.126 0.085
0.268 0.594 0.714
0.999 0.430 0.390
0.733 0.904 0.708
0.254 0.950 0.988
0.323 0.329 0.424
0.001 0.570 0.610
0.948 0.901 0.343
0.267 0.096 0.292
0.052 0.901 0.157
0.477 0.874 0.585
0.746 0.050 0.012
0.791 0.501 0.643
0.278 0.992 0.646
0.791 0.499 0.143
0.278 0.008 0.146
0.209 0.499 0.357
0.722 0.008 0.354
0.722 0.992 0.854
0.209 0.501 0.857
0.655 0.150 0.095
0.000 0.791 0.250
0.164 0.641 0.609
0.500 0.720 0.250
0.655 0.850 0.595
0.836 0.641 0.891
0.345 0.150 0.405
0.000 0.209 0.750
0.345 0.850 0.905
0.836 0.359 0.391
0.164 0.359 0.109
0.500 0.280 0.750
0.000 0.095 0.250
0.000 0.905 0.750
0.500 0.500 0.000
0.671 0.802 0.049
0.500 0.500 0.500
0.500 0.418 0.250
0.000 0.000 0.500
0.329 0.802 0.451
0.000 0.000 0.000
0.671 0.198 0.549
0.329 0.198 0.951
0.500 0.582 0.750



It is i that is the most stable of them.



i | LiMn2P2O10 | the Alexandria database | meta-GGA SCAN | single point on PBEsol structure; space group = No. 4; density = 3.51 g cm⁻³
1.0
4.854 -0.013 0.000
-2.119 6.532 0.000
0.000 0.000 10.104
O Mn Li P
20 4 2 4
direct
0.734 0.599 0.313
0.275 0.593 0.436
0.978 0.261 0.544
0.244 0.910 0.576
0.772 0.909 0.683
0.725 0.407 0.936
0.693 0.921 0.424
0.801 0.594 0.568
0.423 0.771 0.214
0.525 0.253 0.458
0.228 0.091 0.183
0.065 0.703 0.781
0.022 0.739 0.044
0.266 0.401 0.813
0.475 0.747 0.958
0.199 0.406 0.068
0.756 0.090 0.076
0.577 0.229 0.714
0.935 0.297 0.281
0.307 0.079 0.924
0.125 0.572 0.929
0.630 0.073 0.566
0.370 0.927 0.066
0.875 0.428 0.429
0.376 0.418 0.601
0.624 0.582 0.101
0.975 0.782 0.652
0.025 0.218 0.152
0.474 0.275 0.849
0.526 0.725 0.349



ii | LiMn2P2O10 | the Alexandria database | meta-GGA SCAN | single point on PBEsol structure; space group = No. 1; density = 3.60 g cm⁻³
1.0
6.600 -0.036 -0.009
3.053 6.042 -0.026
0.130 -0.076 7.820
O Mn P Li
20 4 4 2
direct
0.270 0.419 0.016
0.770 0.419 0.516
0.774 0.739 0.678
0.569 0.349 0.268
0.274 0.739 0.178
0.957 0.071 0.326
0.213 0.592 0.481
0.725 0.259 0.819
0.650 0.106 0.528
0.869 0.874 0.968
0.928 0.646 0.233
0.069 0.349 0.768
0.150 0.106 0.028
0.713 0.592 0.981
0.457 0.071 0.826
0.053 0.924 0.684
0.428 0.646 0.733
0.225 0.259 0.319
0.369 0.874 0.468
0.553 0.924 0.184
0.753 0.497 0.752
0.249 0.002 0.250
0.749 0.002 0.750
0.253 0.497 0.252
0.737 0.241 0.413
0.265 0.758 0.584
0.765 0.758 0.084
0.237 0.241 0.913
0.705 0.783 0.435
0.205 0.784 0.935



It is ii that is the most stable of them.